[1]
Density functional theory data (PBE) for Hf2AlH after structural relaxation.

Summary:
ΔE to the lowest computed polymorph (eV/atom): 0.108
Density of states at the Fermi level (states/eV per atom): 0.825
Total magnetization (μB per cell): 0.004
Volume (Å³/cell): 188.30
E_tot (eV per formula unit): -27.8

Cell: 3.1388 3.1388 22.0707 Å, 90.00 90.00 120.00°
Last column: nearest neighbours and their distance in Å.
Space group R-3m (No. 166, hexagonal axes)
One atom of each set of equivalent atoms:
Hf  0.0000  0.0000  0.2269  3 H 2.25
Al  0.0000  0.0000  0.0000  6 Hf 2.97, 6 Al 3.14
H  0.0000  0.0000  0.5000  6 Hf 2.25

[2]
Density functional theory data (PBE) for HfAlHg2H after structural relaxation.

Summary:
Density of states at the Fermi level (states/eV per atom): 0.316
Total magnetization (μB per cell): 0.000
Volume (Å³/cell): 84.91
E_tot (eV per formula unit): -16.9

Cell: 4.5144 4.5144 4.1662 Å, 90.00 90.00 90.00°
Last column: nearest neighbours and their distance in Å.
Space group P4/mmm (No. 123)
One atom of each set of equivalent atoms:
Hf  0.0000  0.0000  0.0000  2 H 2.08
Al  0.5000  0.5000  0.0000  8 Hg 3.07, 4 Hf 3.19
Hg  0.0000  0.5000  0.5000  2 H 2.26
H  0.0000  0.0000  0.5000  2 Hf 2.08, 4 Hg 2.26

[3]
Density functional theory data (PBE) for Hf2AlHIr after structural relaxation.

Summary:
Density of states at the Fermi level (states/eV per atom): 0.659
Total magnetization (μB per cell): 0.000
Volume (Å³/cell): 73.91
E_tot (eV per formula unit): -38.3

Cell: 4.3308 4.3308 3.9409 Å, 90.00 90.00 90.00°
Last column: nearest neighbours and their distance in Å.
Space group P4/mmm (No. 123)
One atom of each set of equivalent atoms:
Hf  0.0000  0.5000  0.0000  2 H 2.17
Al  0.0000  0.0000  0.5000  8 Hf 2.93, 4 Ir 3.06
H  0.5000  0.5000  0.0000  2 Ir 1.97, 4 Hf 2.17
Ir  0.5000  0.5000  0.5000  2 H 1.97

[4]
Density functional theory data (PBE) for Li2HfAlH after structural relaxation.

Summary:
Density of states at the Fermi level (states/eV per atom): 0.395
Total magnetization (μB per cell): 0.000
Volume (Å³/cell): 71.07
E_tot (eV per formula unit): -21.7

Cell: 3.9746 3.9746 4.4987 Å, 90.00 90.00 90.00°
Last column: nearest neighbours and their distance in Å.
Space group P4/mmm (No. 123)
One atom of each set of equivalent atoms:
Li  0.0000  0.5000  0.0000  2 H 1.99
Hf  0.0000  0.0000  0.5000  2 H 2.25
Al  0.5000  0.5000  0.5000  4 Hf 2.81, 8 Li 3.00
H  0.0000  0.0000  0.0000  4 Li 1.99

[5]
Density functional theory data (PBE) for Hf2MnAlH after structural relaxation.

Summary:
Density of states at the Fermi level (states/eV per atom): 0.321
Total magnetization (μB per cell): 0.924
Volume (Å³/cell): 71.43
E_tot (eV per formula unit): -37.5

Cell: 4.4773 4.4773 3.5633 Å, 90.00 90.00 90.00°
Last column: nearest neighbours and their distance in Å.
Space group P4/mmm (No. 123)
One atom of each set of equivalent atoms:
Hf  0.0000  0.5000  0.0000  2 H 2.24
Mn  0.0000  0.0000  0.5000  2 H 1.78
Al  0.5000  0.5000  0.5000  8 Hf 2.86, 4 Mn 3.17
H  0.0000  0.0000  0.0000  2 Mn 1.78

[6]
Density functional theory data (PBE) for Hf2AlMoH after structural relaxation.

Summary:
Density of states at the Fermi level (states/eV per atom): 0.239
Total magnetization (μB per cell): 0.000
Volume (Å³/cell): 76.63
E_tot (eV per formula unit): -39.3

Cell: 4.5823 4.5823 3.6496 Å, 90.00 90.00 90.00°
Last column: nearest neighbours and their distance in Å.
Space group P4/mmm (No. 123)
One atom of each set of equivalent atoms:
Hf  0.0000  0.5000  0.0000  2 H 2.29
Al  0.0000  0.0000  0.5000  8 Hf 2.93, 4 Mo 3.24
Mo  0.5000  0.5000  0.5000  2 H 1.82
H  0.5000  0.5000  0.0000  2 Mo 1.82

[7]
Density functional theory data (PBE) for HfNb2AlH after structural relaxation.

Summary:
ΔE to the lowest computed polymorph (eV/atom): 0.060
Density of states at the Fermi level (states/eV per atom): 0.463
Total magnetization (μB per cell): 0.000
Volume (Å³/cell): 76.68
E_tot (eV per formula unit): -38.1

Cell: 4.0461 4.0461 4.6840 Å, 90.00 90.00 90.00°
Last column: nearest neighbours and their distance in Å.
Space group P4/mmm (No. 123)
One atom of each set of equivalent atoms:
Hf  0.0000  0.0000  0.0000  4 Al 2.86, 8 Nb 3.09
Nb  0.0000  0.5000  0.5000  2 H 2.02
Al  0.5000  0.5000  0.0000  2 H 2.34
H  0.5000  0.5000  0.5000  4 Nb 2.02

[8]
Density functional theory data (PBE) for Hf2NbAlH after structural relaxation.

Summary:
ΔE to the lowest computed polymorph (eV/atom): 0.129
Density of states at the Fermi level (states/eV per atom): 1.001
Total magnetization (μB per cell): 0.000
Volume (Å³/cell): 79.95
E_tot (eV per formula unit): -37.9

Cell: 4.1346 4.1346 4.6767 Å, 90.00 90.00 90.00°
Last column: nearest neighbours and their distance in Å.
Space group P4/mmm (No. 123)
One atom of each set of equivalent atoms:
Hf  0.0000  0.5000  0.0000  2 H 2.07
Nb  0.0000  0.0000  0.5000  4 Al 2.92, 8 Hf 3.12
Al  0.5000  0.5000  0.5000  2 H 2.34
H  0.5000  0.5000  0.0000  4 Hf 2.07

[9]
Density functional theory data (PBE) for HfNb2AlH after structural relaxation.

Summary:
ΔE to the lowest computed polymorph (eV/atom): 0.000
Density of states at the Fermi level (states/eV per atom): 0.652
Total magnetization (μB per cell): 0.000
Volume (Å³/cell): 76.28
E_tot (eV per formula unit): -38.4

Cell: 4.0783 4.0783 4.5862 Å, 90.00 90.00 90.00°
Last column: nearest neighbours and their distance in Å.
Space group P4/mmm (No. 123)
One atom of each set of equivalent atoms:
Hf  0.0000  0.0000  0.0000  2 H 2.29
Nb  0.0000  0.5000  0.5000  2 H 2.04
Al  0.5000  0.5000  0.0000  4 Hf 2.88, 8 Nb 3.07
H  0.0000  0.0000  0.5000  4 Nb 2.04

[10]
Density functional theory data (PBE) for HfNbAl2H after structural relaxation.

Summary:
Density of states at the Fermi level (states/eV per atom): 0.400
Total magnetization (μB per cell): 0.000
Volume (Å³/cell): 72.93
E_tot (eV per formula unit): -31.8

Cell: 4.2482 4.2482 4.0412 Å, 90.00 90.00 90.00°
Last column: nearest neighbours and their distance in Å.
Space group P4/mmm (No. 123)
One atom of each set of equivalent atoms:
Hf  0.0000  0.0000  0.0000  8 Al 2.93, 4 Nb 3.00
Nb  0.5000  0.5000  0.0000  2 H 2.02
Al  0.0000  0.5000  0.5000  2 H 2.12
H  0.5000  0.5000  0.5000  2 Nb 2.02, 4 Al 2.12

[11]
Density functional theory data (PBE) for Hf2NbAlH after structural relaxation.

Summary:
ΔE to the lowest computed polymorph (eV/atom): 0.000
Density of states at the Fermi level (states/eV per atom): 0.925
Total magnetization (μB per cell): 0.000
Volume (Å³/cell): 79.54
E_tot (eV per formula unit): -38.5

Cell: 4.5010 4.5010 3.9261 Å, 90.00 90.00 90.00°
Last column: nearest neighbours and their distance in Å.
Space group P4/mmm (No. 123)
One atom of each set of equivalent atoms:
Hf  0.0000  0.5000  0.0000  2 H 2.25
Nb  0.0000  0.0000  0.5000  2 H 1.96
Al  0.5000  0.5000  0.5000  8 Hf 2.99, 4 Nb 3.18
H  0.0000  0.0000  0.0000  2 Nb 1.96

[12]
Density functional theory data (PBE) for Hf2AlNiH after structural relaxation.

Summary:
Density of states at the Fermi level (states/eV per atom): 0.902
Total magnetization (μB per cell): 0.001
Volume (Å³/cell): 71.17
E_tot (eV per formula unit): -34.4

Cell: 4.3436 4.3436 3.7723 Å, 90.00 90.00 90.00°
Last column: nearest neighbours and their distance in Å.
Space group P4/mmm (No. 123)
One atom of each set of equivalent atoms:
Hf  0.0000  0.5000  0.0000  2 H 2.17
Al  0.0000  0.0000  0.5000  8 Hf 2.88, 4 Ni 3.07
Ni  0.5000  0.5000  0.5000  2 H 1.89
H  0.5000  0.5000  0.0000  2 Ni 1.89

[13]
Density functional theory data (PBE) for HfAlNi2H after structural relaxation.

Summary:
Density of states at the Fermi level (states/eV per atom): 0.923
Total magnetization (μB per cell): 0.881
Volume (Å³/cell): 60.66
E_tot (eV per formula unit): -29.9

Cell: 3.9445 3.9445 3.8987 Å, 90.00 90.00 90.00°
Last column: nearest neighbours and their distance in Å.
Space group P4/mmm (No. 123)
One atom of each set of equivalent atoms:
Hf  0.0000  0.0000  0.0000  2 H 1.95
Al  0.5000  0.5000  0.0000  8 Ni 2.77, 4 Hf 2.79
Ni  0.0000  0.5000  0.5000  2 H 1.97
H  0.0000  0.0000  0.5000  2 Hf 1.95, 4 Ni 1.97

[14]
Density functional theory data (PBE) for HfAlH2Os after structural relaxation.

Summary:
Density of states at the Fermi level (states/eV per atom): 0.778
Total magnetization (μB per cell): 0.000
Volume (Å³/cell): 72.67
E_tot (eV per formula unit): -28.2

Cell: 3.7861 3.7861 5.0694 Å, 90.00 90.00 90.00°
Last column: nearest neighbours and their distance in Å.
Space group P4/mmm (No. 123)
One atom of each set of equivalent atoms:
Hf  0.0000  0.0000  0.0000  2 Os 2.53, 4 Al 2.68
Al  0.5000  0.5000  0.0000  4 Hf 2.68
H  0.0000  0.5000  0.5000  2 Os 1.89
Os  0.0000  0.0000  0.5000  4 H 1.89